[1]
Entry from the Alexandria database: a relaxed structure of LiTiRh3 (PBE).

ΔE to the lowest computed polymorph in meV/atom: 525
E in eV/atom: -5.955
E_form in eV/atom: 0.417
Total magnetic moment in Bohr magnetons per cell: 0.41
Crystal system: cubic

Unit cell a=4.562 b=4.562 c=4.562 alpha=90.00 beta=90.00 gamma=90.00
Fractional positions:
Li (0.500, 0.500, 0.500)
Rh (0.000, 0.500, 0.000)
Rh (0.000, 0.000, 0.500)
Rh (0.500, 0.000, 0.000)
Ti (0.000, 0.000, 0.000)

---

[2]
Entry from the Alexandria database: a relaxed structure of Li2TiRh (PBE).

ΔE to the lowest computed polymorph in meV/atom: 152
E in eV/atom: -4.689
E_form in eV/atom: 0.080
Total magnetic moment in Bohr magnetons per cell: 0.00
Crystal system: cubic

Unit cell a=4.234 b=4.234 c=4.234 alpha=60.00 beta=60.00 gamma=60.00
Fractional positions:
Li (0.250, 0.250, 0.250)
Li (0.750, 0.750, 0.750)
Rh (0.500, 0.500, 0.500)
Ti (0.000, 0.000, 0.000)

---

What is the total magnetic moment in the first record? 0.41 Bohr magnetons per cell